NpZn9Ag2 PBE-GGA relaxed; polymorph energy (0 for the lowest one) = 0.0 kJ/mol of atoms; energy of formation = 0.00 eV/atom; density = 8.7 Mg/m³; Fermi-level density of states = 0.438 states/eV per atom; uncorrected energy = -2.5089 eV per atom
1.0
2.800 0.000 0.000
0.000 9.050 0.000
0.000 -4.525 7.837
Np Zn Ag
1 9 2
direct
0.000 0.000 0.000 Np
0.500 0.823 0.177 Zn
0.000 0.000 0.500 Zn
0.000 0.500 0.500 Zn
0.500 0.823 0.646 Zn
0.500 0.177 0.823 Zn
0.500 0.646 0.823 Zn
0.500 0.177 0.354 Zn
0.000 0.500 0.000 Zn
0.500 0.354 0.177 Zn
0.000 0.667 0.333 Ag
0.000 0.333 0.667 Ag